First-principles (PBE-GGA) data for crystalline La2Cu5Pd5 at its relaxed geometry, as listed in Alexandria.

- total magnetic moment (μB per cell) = 0.0
- Fermi-level density of states (states/eV/atom) = 0.28
- V (Å³ per cell) = 208.6
- space group = Pmmm
- raw total energy (Ry per atom) = -0.38142
- calculated formation energy (kJ per mole of atoms) = -48.0

Unit cell a=4.386 b=5.158 c=9.223 alpha=90.00 beta=90.00 gamma=90.00
Element x y z (fractional)
1 La 0.000 0.000 0.000
2 La 0.000 0.500 0.500
3 Cu 0.500 0.000 0.500
4 Cu 0.500 0.249 0.256
5 Cu 0.500 0.249 0.744
6 Cu 0.500 0.751 0.256
7 Cu 0.500 0.751 0.744
8 Pd 0.000 0.000 0.335
9 Pd 0.000 0.000 0.665
10 Pd 0.000 0.500 0.179
11 Pd 0.000 0.500 0.821
12 Pd 0.500 0.500 0.000